(1)
VASP calculation (PBE-GGA) on crystalline HoEr2Ga at its relaxed geometry.

Cell and atoms, written as CIF:
```
data_HoEr2Ga
_chemical_formula_sum 'Ho4 Er8 Ga4'
_cell_length_a 6.710
_cell_length_b 11.703
_cell_length_c 5.192
_cell_angle_alpha 90.00
_cell_angle_beta 90.00
_cell_angle_gamma 90.00
_symmetry_space_group_name_H-M 'C m c m'
_symmetry_Int_Tables_number 63
_symmetry_space_group_name_Hall '-C 2c 2'
loop_
_atom_site_label
_atom_site_type_symbol
_atom_site_fract_x
_atom_site_fract_y
_atom_site_fract_z
Ho1 Ho 0.000 0.176 0.250
Er1 Er 0.238 0.414 0.250
Ga1 Ga 0.000 0.335 0.750
```

Calculated values
Magnetization ... 0.0 μB/f.u.

***

(2)
VASP calculation (PBE-GGA) on crystalline HoEr2Ga at its relaxed geometry.

Cell and atoms, written as CIF:
```
data_HoEr2Ga
_chemical_formula_sum 'Ho4 Er8 Ga4'
_cell_length_a 5.197
_cell_length_b 6.913
_cell_length_c 11.825
_cell_angle_alpha 90.00
_cell_angle_beta 90.00
_cell_angle_gamma 90.00
_symmetry_space_group_name_H-M 'A m m 2'
_symmetry_Int_Tables_number 38
_symmetry_space_group_name_Hall 'A 2 -2'
loop_
_atom_site_label
_atom_site_type_symbol
_atom_site_fract_x
_atom_site_fract_y
_atom_site_fract_z
Ho1 Ho 0.000 0.000 0.000
Ho2 Ho 0.500 0.000 0.311
Er1 Er 0.000 0.000 0.495
Er2 Er 0.500 0.000 0.818
Er3 Er 0.500 0.247 0.580
Ga1 Ga 0.000 0.238 0.730
```

Calculated values
Magnetization ... 0.0 μB/f.u.

***

Stability verdict: (1), ahead by 102 meV/atom

***

(1)
VASP calculation (PBE-GGA) on crystalline HoErGa4 at its relaxed geometry.

Cell and atoms, written as CIF:
```
data_HoErGa4
_chemical_formula_sum 'Ho4 Er4 Ga16'
_cell_length_a 4.086
_cell_length_b 18.670
_cell_length_c 6.435
_cell_angle_alpha 90.00
_cell_angle_beta 90.00
_cell_angle_gamma 90.00
_symmetry_space_group_name_H-M 'C m c m'
_symmetry_Int_Tables_number 63
_symmetry_space_group_name_Hall '-C 2c 2'
loop_
_atom_site_label
_atom_site_type_symbol
_atom_site_fract_x
_atom_site_fract_y
_atom_site_fract_z
Ho1 Ho 0.000 0.089 0.250
Er1 Er 0.000 0.235 0.750
Ga1 Ga 0.000 0.070 0.750
Ga2 Ga 0.000 0.354 0.042
Ga3 Ga 0.000 0.500 0.000
```

Calculated values
Magnetization ... 0.0 μB/f.u.

***

(2)
VASP calculation (PBE-GGA) on crystalline HoErGa4 at its relaxed geometry.

Cell and atoms, written as CIF:
```
data_HoErGa4
_chemical_formula_sum 'Ho2 Er2 Ga8'
_cell_length_a 4.309
_cell_length_b 4.284
_cell_length_c 13.335
_cell_angle_alpha 90.00
_cell_angle_beta 90.00
_cell_angle_gamma 90.00
_symmetry_space_group_name_H-M 'A m m 2'
_symmetry_Int_Tables_number 38
_symmetry_space_group_name_Hall 'A 2 -2'
loop_
_atom_site_label
_atom_site_type_symbol
_atom_site_fract_x
_atom_site_fract_y
_atom_site_fract_z
Ho1 Ho 0.000 0.000 0.000
Er1 Er 0.000 0.000 0.697
Ga1 Ga 0.000 0.000 0.348
Ga2 Ga 0.500 0.000 0.173
Ga3 Ga 0.500 0.000 0.525
Ga4 Ga 0.500 0.000 0.848
```

Calculated values
Magnetization ... 0.0 μB/f.u.

***

Stability verdict: (1), ahead by 30 meV/atom

***

(1)
VASP calculation (PBE-GGA) on crystalline Ho2Er3Ga3 at its relaxed geometry.

Cell and atoms, written as CIF:
```
data_Ho2Er3Ga3
_chemical_formula_sum 'Ho4 Er6 Ga6'
_cell_length_a 5.442
_cell_length_b 7.184
_cell_length_c 10.254
_cell_angle_alpha 90.00
_cell_angle_beta 90.00
_cell_angle_gamma 90.00
_symmetry_space_group_name_H-M 'A m m 2'
_symmetry_Int_Tables_number 38
_symmetry_space_group_name_Hall 'A 2 -2'
loop_
_atom_site_label
_atom_site_type_symbol
_atom_site_fract_x
_atom_site_fract_y
_atom_site_fract_z
Ho1 Ho 0.000 0.000 0.000
Ho2 Ho 0.500 0.000 0.410
Er1 Er 0.000 0.000 0.598
Er2 Er 0.500 0.250 0.165
Ga1 Ga 0.000 0.178 0.298
Ga2 Ga 0.500 0.000 0.897
```

Calculated values
Magnetization ... 0.0 μB/f.u.

***

(2)
VASP calculation (PBE-GGA) on crystalline Ho2Er3Ga3 at its relaxed geometry.

Cell and atoms, written as CIF:
```
data_Ho2Er3Ga3
_chemical_formula_sum 'Ho2 Er3 Ga3'
_cell_length_a 6.585
_cell_length_b 4.782
_cell_length_c 6.618
_cell_angle_alpha 90.00
_cell_angle_beta 107.16
_cell_angle_gamma 90.00
_symmetry_space_group_name_H-M 'P 1 m 1'
_symmetry_Int_Tables_number 6
_symmetry_space_group_name_Hall 'P -2y'
loop_
_atom_site_label
_atom_site_type_symbol
_atom_site_fract_x
_atom_site_fract_y
_atom_site_fract_z
Ho1 Ho 0.000 0.000 0.000
Ho2 Ho 0.206 0.500 0.711
Er1 Er 0.493 0.000 0.501
Er2 Er 0.503 0.000 0.006
Er3 Er 0.795 0.500 0.292
Ga1 Ga 0.307 0.500 0.199
Ga2 Ga 0.694 0.500 0.806
Ga3 Ga 0.992 0.000 0.501
```

Calculated values
Magnetization ... 0.0 μB/f.u.

***

Stability verdict: (2), ahead by 144 meV/atom

***

(1)
VASP calculation (PBE-GGA) on crystalline HoErGa2Ir4 at its relaxed geometry.

Cell and atoms, written as CIF:
```
data_HoErGa2Ir4
_chemical_formula_sum 'Ho1 Er1 Ga2 Ir4'
_cell_length_a 4.566
_cell_length_b 4.566
_cell_length_c 6.459
_cell_angle_alpha 90.00
_cell_angle_beta 90.00
_cell_angle_gamma 90.00
_symmetry_space_group_name_H-M 'P 4/m m m'
_symmetry_Int_Tables_number 123
_symmetry_space_group_name_Hall '-P 4 2'
loop_
_atom_site_label
_atom_site_type_symbol
_atom_site_fract_x
_atom_site_fract_y
_atom_site_fract_z
Ho1 Ho 0.000 0.000 0.000
Er1 Er 0.500 0.500 0.500
Ga1 Ga 0.000 0.000 0.500
Ga2 Ga 0.500 0.500 0.000
Ir1 Ir 0.000 0.500 0.251
```

Calculated values
Magnetization ... 0.0 μB/f.u.

***

(2)
VASP calculation (PBE-GGA) on crystalline HoErGa2Ir4 at its relaxed geometry.

Cell and atoms, written as CIF:
```
data_HoErGa2Ir4
_chemical_formula_sum 'Ho1 Er1 Ga2 Ir4'
_cell_length_a 4.3350
_cell_length_b 4.3350
_cell_length_c 8.8992
_cell_angle_alpha 90.00
_cell_angle_beta 90.00
_cell_angle_gamma 120.00
_symmetry_space_group_name_H-M 'P -6 m 2'
_symmetry_Int_Tables_number 187
_symmetry_space_group_name_Hall 'P -6 2'
loop_
_atom_site_label
_atom_site_type_symbol
_atom_site_fract_x
_atom_site_fract_y
_atom_site_fract_z
Ho1 Ho 0.0000 0.0000 0.0000
Er1 Er 0.6667 0.3333 0.5000
Ga1 Ga 0.3333 0.6667 0.2505
Ir1 Ir 0.0000 0.0000 0.3359
Ir2 Ir 0.6667 0.3333 0.1665
```

Calculated values
Magnetization ... 0.0 μB/f.u.

***

Stability verdict: (1), ahead by 9 meV/atom

***

(1)
VASP calculation (PBE-GGA) on crystalline ErInGa at its relaxed geometry.

Cell and atoms, written as CIF:
```
data_ErInGa
_chemical_formula_sum 'Er4 In4 Ga4'
_cell_length_a 6.931
_cell_length_b 6.931
_cell_length_c 6.931
_cell_angle_alpha 90.00
_cell_angle_beta 90.00
_cell_angle_gamma 90.00
_symmetry_space_group_name_H-M 'F -4 3 m'
_symmetry_Int_Tables_number 216
_symmetry_space_group_name_Hall 'F -4 2 3'
loop_
_atom_site_label
_atom_site_type_symbol
_atom_site_fract_x
_atom_site_fract_y
_atom_site_fract_z
Er1 Er 0.000 0.000 0.000
In1 In 0.250 0.250 0.250
Ga1 Ga 0.250 0.250 0.750
```

Calculated values
Magnetization ... 0.0 μB/f.u.

***

(2)
VASP calculation (PBE-GGA) on crystalline ErInGa at its relaxed geometry.

Cell and atoms, written as CIF:
```
data_ErInGa
_chemical_formula_sum 'Er4 In4 Ga4'
_cell_length_a 6.663
_cell_length_b 6.663
_cell_length_c 6.663
_cell_angle_alpha 90.00
_cell_angle_beta 90.00
_cell_angle_gamma 90.00
_symmetry_space_group_name_H-M 'F -4 3 m'
_symmetry_Int_Tables_number 216
_symmetry_space_group_name_Hall 'F -4 2 3'
loop_
_atom_site_label
_atom_site_type_symbol
_atom_site_fract_x
_atom_site_fract_y
_atom_site_fract_z
Er1 Er 0.000 0.000 0.000
In1 In 0.000 0.000 0.500
Ga1 Ga 0.250 0.250 0.250
```

Calculated values
Magnetization ... 0.0 μB/f.u.

***

Stability verdict: (2), ahead by 292 meV/atom

***

(1)
VASP calculation (PBE-GGA) on crystalline LiErGa at its relaxed geometry.

Cell and atoms, written as CIF:
```
data_LiErGa
_chemical_formula_sum 'Li4 Er4 Ga4'
_cell_length_a 6.679
_cell_length_b 6.679
_cell_length_c 6.679
_cell_angle_alpha 90.00
_cell_angle_beta 90.00
_cell_angle_gamma 90.00
_symmetry_space_group_name_H-M 'F -4 3 m'
_symmetry_Int_Tables_number 216
_symmetry_space_group_name_Hall 'F -4 2 3'
loop_
_atom_site_label
_atom_site_type_symbol
_atom_site_fract_x
_atom_site_fract_y
_atom_site_fract_z
Li1 Li 0.000 0.000 0.000
Er1 Er 0.250 0.250 0.750
Ga1 Ga 0.000 0.000 0.500
```

Calculated values
Magnetization ... 0.4 μB/f.u.

***

(2)
VASP calculation (PBE-GGA) on crystalline LiErGa at its relaxed geometry.

Cell and atoms, written as CIF:
```
data_LiErGa
_chemical_formula_sum 'Li4 Er4 Ga4'
_cell_length_a 6.602
_cell_length_b 6.602
_cell_length_c 6.602
_cell_angle_alpha 90.00
_cell_angle_beta 90.00
_cell_angle_gamma 90.00
_symmetry_space_group_name_H-M 'F -4 3 m'
_symmetry_Int_Tables_number 216
_symmetry_space_group_name_Hall 'F -4 2 3'
loop_
_atom_site_label
_atom_site_type_symbol
_atom_site_fract_x
_atom_site_fract_y
_atom_site_fract_z
Li1 Li 0.000 0.000 0.000
Er1 Er 0.000 0.000 0.500
Ga1 Ga 0.250 0.250 0.750
```

Calculated values
Magnetization ... 1.0 μB/f.u.

***

Stability verdict: (2), ahead by 368 meV/atom

***

(1)
VASP calculation (PBE-GGA) on crystalline ErGaNO at its relaxed geometry.

Cell and atoms, written as CIF:
```
data_ErGaNO
_chemical_formula_sum 'Er2 Ga2 N2 O2'
_cell_length_a 3.867
_cell_length_b 5.835
_cell_length_c 5.243
_cell_angle_alpha 90.00
_cell_angle_beta 90.00
_cell_angle_gamma 90.00
_symmetry_space_group_name_H-M 'P m c 21'
_symmetry_Int_Tables_number 26
_symmetry_space_group_name_Hall 'P 2c -2'
loop_
_atom_site_label
_atom_site_type_symbol
_atom_site_fract_x
_atom_site_fract_y
_atom_site_fract_z
Er1 Er 0.000 0.201 0.000
Ga1 Ga 0.500 0.312 0.505
N1 N 0.500 0.370 0.876
O1 O 0.000 0.171 0.426
```

Calculated values
Magnetization ... 0.0 μB/f.u.

***

(2)
VASP calculation (PBE-GGA) on crystalline ErGaNO at its relaxed geometry.

Cell and atoms, written as CIF:
```
data_ErGaNO
_chemical_formula_sum 'Er4 Ga4 N4 O4'
_cell_length_a 6.363
_cell_length_b 7.229
_cell_length_c 4.940
_cell_angle_alpha 90.00
_cell_angle_beta 90.00
_cell_angle_gamma 90.00
_symmetry_space_group_name_H-M 'P c a 21'
_symmetry_Int_Tables_number 29
_symmetry_space_group_name_Hall 'P 2c -2ac'
loop_
_atom_site_label
_atom_site_type_symbol
_atom_site_fract_x
_atom_site_fract_y
_atom_site_fract_z
Er1 Er 0.066 0.150 0.000
Ga1 Ga 0.105 0.647 0.996
N1 N 0.085 0.133 0.505
O1 O 0.055 0.564 0.624
```

Calculated values
Magnetization ... 0.0 μB/f.u.

***

(3)
VASP calculation (PBE-GGA) on crystalline ErGaNO at its relaxed geometry.

Cell and atoms, written as CIF:
```
data_ErGaNO
_chemical_formula_sum 'Er2 Ga2 N2 O2'
_cell_length_a 4.191
_cell_length_b 5.251
_cell_length_c 4.902
_cell_angle_alpha 90.00
_cell_angle_beta 90.00
_cell_angle_gamma 90.00
_symmetry_space_group_name_H-M 'P m c 21'
_symmetry_Int_Tables_number 26
_symmetry_space_group_name_Hall 'P 2c -2'
loop_
_atom_site_label
_atom_site_type_symbol
_atom_site_fract_x
_atom_site_fract_y
_atom_site_fract_z
Er1 Er 0.000 0.227 0.000
Ga1 Ga 0.500 0.265 0.515
N1 N 0.000 0.211 0.487
O1 O 0.500 0.364 0.924
```

Calculated values
Magnetization ... 0.0 μB/f.u.

***

Stability verdict: (3), ahead by 84 meV/atom

***

(1)
VASP calculation (PBE-GGA) on crystalline ErGaNiPd at its relaxed geometry.

Cell and atoms, written as CIF:
```
data_ErGaNiPd
_chemical_formula_sum 'Er2 Ga2 Ni2 Pd2'
_cell_length_a 4.2623
_cell_length_b 4.2623
_cell_length_c 8.8653
_cell_angle_alpha 90.00
_cell_angle_beta 90.00
_cell_angle_gamma 120.00
_symmetry_space_group_name_H-M 'P -3 m 1'
_symmetry_Int_Tables_number 164
_symmetry_space_group_name_Hall '-P 3 2"'
loop_
_atom_site_label
_atom_site_type_symbol
_atom_site_fract_x
_atom_site_fract_y
_atom_site_fract_z
Er1 Er 0.3333 0.6667 0.2624
Ga1 Ga 0.0000 0.0000 0.0000
Ga2 Ga 0.0000 0.0000 0.5000
Ni1 Ni 0.3333 0.6667 0.5680
Pd1 Pd 0.3333 0.6667 0.9106
```

Calculated values
Magnetization ... 0.0 μB/f.u.

***

(2)
VASP calculation (PBE-GGA) on crystalline ErGaNiPd at its relaxed geometry.

Cell and atoms, written as CIF:
```
data_ErGaNiPd
_chemical_formula_sum 'Er2 Ga2 Ni2 Pd2'
_cell_length_a 4.2651
_cell_length_b 4.2651
_cell_length_c 8.8684
_cell_angle_alpha 90.00
_cell_angle_beta 90.00
_cell_angle_gamma 120.00
_symmetry_space_group_name_H-M 'P -6 m 2'
_symmetry_Int_Tables_number 187
_symmetry_space_group_name_Hall 'P -6 2'
loop_
_atom_site_label
_atom_site_type_symbol
_atom_site_fract_x
_atom_site_fract_y
_atom_site_fract_z
Er1 Er 0.0000 0.0000 0.0000
Er2 Er 0.3333 0.6667 0.5000
Ga1 Ga 0.6667 0.3333 0.2683
Ni1 Ni 0.0000 0.0000 0.3280
Pd1 Pd 0.3333 0.6667 0.1727
```

Calculated values
Magnetization ... 0.0 μB/f.u.

***

Stability verdict: (1), ahead by 5 meV/atom